The following is a DFT calculation (PBE) of crystalline CaAcDy at its relaxed geometry.

Its density is 6.1 g/cm³. Its energy of formation from the pure elements is 0.07 eV/atom. As for the total magnetization: 0.00 μB/cell.

It has space group P3m1 (No. 156), with a = 3.8089 Å, b = 3.8089 Å, c = 9.3075 Å, α = 90.00°, β = 90.00° and γ = 120.00°. Symmetry generates all atoms from Ca at (0.0000, 0.0000, 0.0000), Ac at (0.3333, 0.6667, 0.6399) and Dy at (0.6667, 0.3333, 0.3263).



The following is a DFT calculation (PBE) of crystalline Ca8Sb3AsI4 at its relaxed geometry.

Its density is 3.8 g/cm³. As for the raw formation energy: -1280 meV per atom. As for the total magnetization: 0.00 μB/cell.

It has space group R-3m (No. 166, hexagonal axes), with a = 9.1644 Å, b = 9.1644 Å, c = 22.6777 Å, α = 90.00°, β = 90.00° and γ = 120.00°. Symmetry generates all atoms from Ca at (0.0000, 0.0000, 0.2356), Ca at (0.0112, 0.5056, 0.2336), Sb at (0.0000, 0.5000, 0.5000), As at (0.0000, 0.0000, 0.5000), I at (0.0000, 0.0000, 0.0000) and I at (0.0000, 0.5000, 0.0000).



The following is a DFT calculation (PBE) of crystalline Pm5Pu2Se12 at its relaxed geometry.

Its density is 6.3 g/cm³. As for the raw formation energy: -1559 meV per atom. As for the total magnetization: 13.99 μB/cell.

It has space group C2/m (No. 12), with a = 16.157 Å, b = 7.795 Å, c = 9.444 Å, α = 90.00°, β = 107.61° and γ = 90.00°. Symmetry generates all atoms from Pm at (0.000, 0.000, 0.000), Pm at (0.186, 0.500, 0.323), Pm at (0.206, 0.500, 0.863), Pu at (0.000, 0.254, 0.500), Se at (0.004, 0.500, 0.720), Se at (0.008, 0.000, 0.307), Se at (0.148, 0.253, 0.064) and Se at (0.177, 0.268, 0.592).



The following is a DFT calculation (PBE) of crystalline Cs4U3PaSe12 at its relaxed geometry.

Its density is 6.0 g/cm³. As for the raw formation energy: -1263 meV per atom. As for the total magnetization: 5.99 μB/cell.

It has space group Im-3m (No. 229), with a = 11.038 Å, b = 11.038 Å, c = 11.038 Å, α = 90.00°, β = 90.00° and γ = 90.00°. Symmetry generates all atoms from Cs at (0.250, 0.250, 0.250), U at (0.000, 0.000, 0.500), Pa at (0.000, 0.000, 0.000), Se at (0.000, 0.000, 0.251) and Se at (0.000, 0.250, 0.500).



The following is a DFT calculation (PBE) of crystalline SrZnNiHg2 at its relaxed geometry.

Its density is 8.4 g/cm³. Its energy of formation from the pure elements is -0.20 eV/atom. As for the total magnetization: 0.00 μB/cell.

It has space group P4/mmm (No. 123), with a = 5.085 Å, b = 5.085 Å, c = 4.696 Å, α = 90.00°, β = 90.00° and γ = 90.00°. Symmetry generates all atoms from Sr at (0.000, 0.000, 0.000), Zn at (0.500, 0.500, 0.000), Ni at (0.500, 0.500, 0.500) and Hg at (0.000, 0.500, 0.500).



The following is a DFT calculation (PBE) of crystalline CaLa2Mg2Sn2 at its relaxed geometry.

Its density is 4.9 g/cm³. Its energy of formation from the pure elements is -0.38 eV/atom. As for the total magnetization: 0.00 μB/cell.

It has space group R-3m (No. 166, hexagonal axes), with a = 5.0334 Å, b = 5.0334 Å, c = 27.8774 Å, α = 90.00°, β = 90.00° and γ = 120.00°. Symmetry generates all atoms from Ca at (0.0000, 0.0000, 0.0000), La at (0.0000, 0.0000, 0.1311), Mg at (0.0000, 0.0000, 0.4030) and Sn at (0.0000, 0.0000, 0.2644).



The following is a DFT calculation (PBE) of crystalline Ga2HgSb at its relaxed geometry.

Its density is 6.3 g/cm³. As for the raw formation energy: 115 meV per atom. As for the total magnetization: 0.00 μB/cell.

It has space group I-42d (No. 122), with a = 6.661 Å, b = 6.661 Å, c = 10.940 Å, α = 90.00°, β = 90.00° and γ = 90.00°. Symmetry generates all atoms from Ga at (0.248, 0.250, 0.125), Hg at (0.000, 0.000, 0.500) and Sb at (0.000, 0.000, 0.000).



The following is a DFT calculation (PBE) of crystalline HoSnGe at its relaxed geometry.

Its density is 8.1 g/cm³. Its energy of formation from the pure elements is -0.33 eV/atom. As for the total magnetization: 0.00 μB/cell.

It has space group P3m1 (No. 156), with a = 4.8439 Å, b = 4.8439 Å, c = 3.6152 Å, α = 90.00°, β = 90.00° and γ = 120.00°. Symmetry generates all atoms from Ho at (0.0000, 0.0000, 0.0000), Sn at (0.6667, 0.3333, 0.5016) and Ge at (0.3333, 0.6667, 0.4970).



The following is a DFT calculation (PBE) of crystalline Ca2Er3Tl2 at its relaxed geometry.

Its density is 7.4 g/cm³. Its energy of formation from the pure elements is -0.14 eV/atom. As for the total magnetization: 0.05 μB/cell.

It has space group C2/m (No. 12), with a = 11.421 Å, b = 4.824 Å, c = 8.511 Å, α = 90.00°, β = 109.50° and γ = 90.00°. Symmetry generates all atoms from Ca at (0.136, 0.000, 0.284), Er at (0.000, 0.500, 0.500), Er at (0.131, 0.500, 0.939) and Tl at (0.165, 0.000, 0.705).



The following is a DFT calculation (PBE) of crystalline Tl2PbCl at its relaxed geometry.

Its density is 8.9 g/cm³. As for the raw formation energy: -300 meV per atom. As for the total magnetization: 0.00 μB/cell.

It has space group Imm2 (No. 44), with a = 3.598 Å, b = 5.646 Å, c = 11.904 Å, α = 90.00°, β = 90.00° and γ = 90.00°. Symmetry generates all atoms from Tl at (0.000, 0.000, 0.000), Tl at (0.000, 0.500, 0.226), Pb at (0.000, 0.000, 0.457) and Cl at (0.000, 0.500, 0.733).



The following is a DFT calculation (PBE) of crystalline CrCo4Pb at its relaxed geometry.

Its density is 10.1 g/cm³. Its energy of formation from the pure elements is 0.36 eV/atom. As for the total magnetization: 36.76 μB/cell.

It has space group F-43m (No. 216), with a = 6.877 Å, b = 6.877 Å, c = 6.877 Å, α = 90.00°, β = 90.00° and γ = 90.00°. Symmetry generates all atoms from Cr at (0.000, 0.000, 0.000), Co at (0.126, 0.126, 0.374) and Pb at (0.250, 0.250, 0.750).



The following is a DFT calculation (PBE) of crystalline LiTb4Au7 at its relaxed geometry.

Its density is 12.4 g/cm³. Its energy of formation from the pure elements is -0.70 eV/atom. As for the total magnetization: 0.00 μB/cell.

It has space group C2/m (No. 12), with a = 14.154 Å, b = 5.016 Å, c = 9.095 Å, α = 90.00°, β = 123.14° and γ = 90.00°. Symmetry generates all atoms from Li at (0.000, 0.000, 0.000), Tb at (0.063, 0.500, 0.745), Tb at (0.238, 0.500, 0.259), Au at (0.000, 0.500, 0.000), Au at (0.079, 0.000, 0.343), Au at (0.179, 0.500, 0.549) and Au at (0.182, 0.000, 0.981).



What is the total magnetization in the first record?
0.00 μB/cell